[1]
VASP calculation (PBE) on a relaxed structure of Tm3Cu11.

Values from the calculation:
E_form: -20.1 kJ/mol of atoms
total magnetization: 0.00 Bohr magnetons per cell
N(E_F): 9.54 states/eV per cell

abc: 4.143 8.657 12.106
angles: 90.00 90.00 90.00
Space group Immm (No. 71)
Asymmetric unit:
Tm 0.000 0.000 0.000 x2
Tm 0.000 0.000 0.307 x4
Cu 0.000 0.208 0.500 x4
Cu 0.000 0.278 0.122 x8
Cu 0.000 0.357 0.324 x8
Cu 0.000 0.500 0.000 x2

=====

[2]
VASP calculation (PBE) on a relaxed structure of Tc2PdPt8.

Values from the calculation:
E_form: -13.2 kJ/mol of atoms
total magnetization: 0.00 Bohr magnetons per cell
N(E_F): 22.00 states/eV per cell

abc: 14.262 3.910 6.273
angles: 90.00 104.97 90.00
Space group C2/m (No. 12)
Asymmetric unit:
Tc 0.230 0.000 0.124 x4
Pd 0.000 0.500 0.500 x2
Pt 0.050 0.000 0.231 x4
Pt 0.095 0.500 0.963 x4
Pt 0.139 0.000 0.696 x4
Pt 0.185 0.500 0.418 x4

=====

[3]
VASP calculation (PBE) on a relaxed structure of YMoRh.

Values from the calculation:
ΔE to the lowest computed polymorph: 1076 meV per atom
E_form: 98.5 kJ/mol of atoms
total magnetization: 12.52 Bohr magnetons per cell
N(E_F): 10.95 states/eV per cell

abc: 6.466 6.466 6.466
angles: 90.00 90.00 90.00
Space group F-43m (No. 216)
Asymmetric unit:
Y 0.000 0.000 0.000 x4
Mo 0.250 0.250 0.750 x4
Rh 0.250 0.250 0.250 x4

=====

[4]
VASP calculation (PBE) on a relaxed structure of NdSc2Be.

Values from the calculation:
E_form: 3.4 kJ/mol of atoms
total magnetization: 0.00 Bohr magnetons per cell
N(E_F): 3.86 states/eV per cell

abc: 3.267 3.267 8.467
angles: 90.00 90.00 90.00
Space group P4/mmm (No. 123)
Asymmetric unit:
Nd 0.000 0.000 0.000 x1
Sc 0.500 0.500 0.318 x2
Be 0.000 0.000 0.500 x1

=====

[5]
VASP calculation (PBE) on a relaxed structure of Rb2NbSiF6.

Values from the calculation:
total magnetization: 6.01 Bohr magnetons per cell
N(E_F): 11.78 states/eV per cell
ΔE_f (raw): -2.24 eV/atom

abc: 6.016 6.016 10.957
angles: 90.00 90.00 90.00
Space group I4/mmm (No. 139)
Asymmetric unit:
Rb 0.000 0.500 0.250 x4
Nb 0.000 0.000 0.000 x2
Si 0.000 0.000 0.500 x2
F 0.000 0.000 0.190 x4
F 0.248 0.248 0.500 x8

=====

[6]
VASP calculation (PBE) on a relaxed structure of Zr2Ti3Pb5O15.

Values from the calculation:
ΔE to the lowest computed polymorph: 0 meV per atom
total magnetization: 0.00 Bohr magnetons per cell
N(E_F): 0.00 states/eV per cell
ΔE_f (raw): -2.35 eV/atom

abc: 3.986 19.759 4.606
angles: 90.00 90.00 90.00
Space group Pmm2 (No. 25)
Asymmetric unit:
Zr 0.000 0.105 0.000 x2
Ti 0.000 0.307 0.999 x2
Ti 0.000 0.500 0.999 x1
Pb 0.500 0.000 0.441 x1
Pb 0.500 0.209 0.440 x2
Pb 0.500 0.403 0.440 x2
O 0.000 0.000 0.098 x1
O 0.000 0.104 0.575 x2
O 0.000 0.211 0.106 x2
O 0.000 0.306 0.619 x2
O 0.000 0.403 0.110 x2
O 0.000 0.500 0.619 x1
O 0.500 0.105 0.119 x2
O 0.500 0.306 0.098 x2
O 0.500 0.500 0.097 x1

=====

[7]
VASP calculation (PBE) on a relaxed structure of AcAl2Sn.

Values from the calculation:
E_form: -20.2 kJ/mol of atoms
total magnetization: 0.00 Bohr magnetons per cell
N(E_F): 10.21 states/eV per cell

abc: 4.7605 4.7605 16.5916
angles: 90.00 90.00 120.00
Space group R-3m (No. 166, hexagonal axes)
Asymmetric unit:
Ac 0.0000 0.0000 0.0000 x3
Al 0.0000 0.0000 0.2117 x6
Sn 0.0000 0.0000 0.5000 x3

=====

[8]
VASP calculation (PBE) on a relaxed structure of LiSmNiSn.

Values from the calculation:
E_form: -54.4 kJ/mol of atoms
total magnetization: 0.00 Bohr magnetons per cell

abc: 6.648 6.648 6.648
angles: 90.00 90.00 90.00
Space group F-43m (No. 216)
Asymmetric unit:
Li 0.000 0.000 0.000 x4
Sm 0.250 0.250 0.750 x4
Ni 0.000 0.000 0.500 x4
Sn 0.250 0.250 0.250 x4

=====

[9]
VASP calculation (PBE) on a relaxed structure of LiPmZrAl.

Values from the calculation:
E_form: -9.6 kJ/mol of atoms
total magnetization: 0.00 Bohr magnetons per cell
N(E_F): 14.40 states/eV per cell

abc: 7.086 7.086 7.086
angles: 90.00 90.00 90.00
Space group F-43m (No. 216)
Asymmetric unit:
Li 0.000 0.000 0.000 x4
Pm 0.250 0.250 0.250 x4
Zr 0.250 0.250 0.750 x4
Al 0.000 0.000 0.500 x4

=====

[10]
VASP calculation (PBE) on a relaxed structure of Hf2TaCo.

Values from the calculation:
ΔE to the lowest computed polymorph: 0 meV per atom
E_form: -15.0 kJ/mol of atoms
total magnetization: 0.00 Bohr magnetons per cell
N(E_F): 3.72 states/eV per cell

abc: 3.178 3.178 7.064
angles: 90.00 90.00 90.00
Space group P4/mmm (No. 123)
Asymmetric unit:
Hf 0.000 0.000 0.221 x2
Ta 0.500 0.500 0.500 x1
Co 0.500 0.500 0.000 x1

=====

Number 1: VASP energy -4.385 eV/atom. Number 2: VASP energy -6.887 eV/atom. Number 3: VASP energy -7.194 eV/atom. Number 4: VASP energy -5.255 eV/atom. Number 5: VASP energy -5.110 eV/atom. Number 6: VASP energy -7.694 eV/atom. Number 7: VASP energy -4.109 eV/atom. Number 8: VASP energy -4.668 eV/atom. Number 9: VASP energy -4.838 eV/atom. Number 10: VASP energy -9.872 eV/atom.